This record from OQMD describes a relaxed Sm2Sc2CI3Cl2 crystal. The functional is PBE.

Cell: 17.7056 3.8415 8.8134 Å, 90.00 103.40 90.00°
With the nearest neighbours (Å) after each atom.
Space group C2/m (No. 12)
Unique sites:
Sm1 0.0016 0.0000 0.3073 x4  2 C 2.57, 1 Cl 2.84
Sc1 0.1304 0.5000 0.5598 x4  1 C 2.25
C1 0.0000 0.5000 0.5000 x2  2 Sc 2.25
I1 0.0000 0.5000 0.0000 x2  4 Sm 3.32
I2 0.1794 0.0000 0.8147 x4  2 Sc 2.93, 1 Sm 3.14
Cl1 0.1663 0.0000 0.3834 x4  2 Sc 2.64, 1 Sm 2.84

## Properties
* energy above the most stable polymorph in this dataset: 0.0 meV/atom
* magnetic moment: 0.1 Bohr magnetons per cell

***

This record from OQMD describes a relaxed BaCu2SnGe crystal. The functional is PBE.

Cell: 4.5235 4.5235 10.8533 Å, 90.00 90.00 90.00°
With the nearest neighbours (Å) after each atom.
Space group P4/nmm (No. 129, origin choice 2)
Unique sites:
Ba1 0.2500 0.2500 0.2320 x2  8 Cu 3.38-3.46, 5 Ge 3.45-3.75, 4 Sn 3.68
Cu1 0.2500 0.2500 0.6474 x2  1 Ge 2.60, 4 Sn 2.77
Cu2 0.2500 0.7500 0.0000 x2  4 Ge 2.58
Sn1 0.2500 0.7500 0.5000 x2  4 Cu 2.77
Ge1 0.2500 0.2500 0.8866 x2  5 Cu 2.58-2.60

## Properties
* final energy: -3.904 eV per atom

***

This record from OQMD describes a relaxed CsFeAgS3 crystal. The functional is PBE.

Cell: 3.6307 15.6363 10.2483 Å, 90.00 90.00 90.00°
With the nearest neighbours (Å) after each atom.
Space group Cmcm (No. 63)
Unique sites:
Cs1 0.0000 0.2486 0.2500 x4  8 S 3.42-3.79, 2 Cs 3.63, 2 Ag 3.71
Fe1 0.0000 0.0000 0.0000 x4  4 S 2.36
Ag1 0.0000 0.4581 0.7500 x4  4 S 2.45-2.48
S1 0.0000 0.0660 0.7500 x4  2 Ag 2.48, 2 Fe 2.76
S2 0.0000 0.4046 0.5254 x8  2 Fe 2.36, 1 Ag 2.45

## Properties
* final energy: -4.338 eV per atom
* magnetic moment: 10.7 Bohr magnetons per cell

***

This record from OQMD describes a relaxed Pr3Nb3Re2N12 crystal. The functional is PBE.

Cell: 13.0379 13.0379 13.0379 Å, 90.00 90.00 90.00°
With the nearest neighbours (Å) after each atom.
Space group Ia-3d (No. 230)
Unique sites:
Pr1 0.0000 0.2500 0.1250 x24  8 N 2.54-2.68
Nb1 0.0000 0.2500 0.3750 x24  4 N 1.95
Re1 0.0000 0.0000 0.0000 x16  6 N 2.02
N1 0.0312 0.0480 0.6437 x96  1 Nb 1.95, 1 Re 2.02

## Properties
* final energy: -9.139 eV per atom
* magnetic moment: 4.3 Bohr magnetons per cell